The following is a DFT calculation (GGA-PBE) of an optimized crystal structure of LiTbGdRu.

Unit cell a=4.9411 b=4.9411 c=4.9411 alpha=60.00 beta=60.00 gamma=60.00
Fractional positions:
Li (0.0000, 0.0000, 0.0000)
Tb (0.2500, 0.2500, 0.2500)
Gd (0.7500, 0.7500, 0.7500)
Ru (0.5000, 0.5000, 0.5000)

ΔE_f: -0.25 eV/atom
SG: F-43m

***

The following is a DFT calculation (GGA-PBE) of an optimized crystal structure of LiGdTcRu.

Unit cell a=4.5519 b=4.5519 c=4.5519 alpha=60.00 beta=60.00 gamma=60.00
Fractional positions:
Li (0.0000, 0.0000, 0.0000)
Gd (0.7500, 0.7500, 0.7500)
Tc (0.5000, 0.5000, 0.5000)
Ru (0.2500, 0.2500, 0.2500)

ΔE_f: 0.16 eV/atom
SG: F-43m

***

The following is a DFT calculation (GGA-PBE) of an optimized crystal structure of LiGdThRu.

Unit cell a=5.0264 b=5.0264 c=5.0264 alpha=60.00 beta=60.00 gamma=60.00
Fractional positions:
Li (0.0000, 0.0000, 0.0000)
Gd (0.7500, 0.7500, 0.7500)
Th (0.2500, 0.2500, 0.2500)
Ru (0.5000, 0.5000, 0.5000)

ΔE_f: -0.19 eV/atom
SG: F-43m

***

The following is a DFT calculation (GGA-PBE) of an optimized crystal structure of LiGdTlRu.

Unit cell a=4.8124 b=4.8124 c=4.8124 alpha=60.00 beta=60.00 gamma=60.00
Fractional positions:
Li (0.0000, 0.0000, 0.0000)
Gd (0.2500, 0.2500, 0.2500)
Tl (0.7500, 0.7500, 0.7500)
Ru (0.5000, 0.5000, 0.5000)

ΔE_f: -0.12 eV/atom
SG: F-43m

***

The following is a DFT calculation (GGA-PBE) of an optimized crystal structure of LiGdTmRu.

Unit cell a=4.8985 b=4.8985 c=4.8985 alpha=60.00 beta=60.00 gamma=60.00
Fractional positions:
Li (0.0000, 0.0000, 0.0000)
Gd (0.2500, 0.2500, 0.2500)
Tm (0.7500, 0.7500, 0.7500)
Ru (0.5000, 0.5000, 0.5000)

ΔE_f: -0.28 eV/atom
SG: F-43m

***

The following is a DFT calculation (GGA-PBE) of an optimized crystal structure of LiGdZnRu.

Unit cell a=4.6361 b=4.6361 c=4.6361 alpha=60.00 beta=60.00 gamma=60.00
Fractional positions:
Li (0.0000, 0.0000, 0.0000)
Gd (0.2500, 0.2500, 0.2500)
Zn (0.7500, 0.7500, 0.7500)
Ru (0.5000, 0.5000, 0.5000)

ΔE_f: -0.13 eV/atom
SG: F-43m

***

The following is a DFT calculation (GGA-PBE) of an optimized crystal structure of LiGdZrRu.

Unit cell a=4.8048 b=4.8048 c=4.8048 alpha=60.00 beta=60.00 gamma=60.00
Fractional positions:
Li (0.0000, 0.0000, 0.0000)
Gd (0.2500, 0.2500, 0.2500)
Zr (0.7500, 0.7500, 0.7500)
Ru (0.5000, 0.5000, 0.5000)

ΔE_f: -0.20 eV/atom
SG: F-43m

***

The following is a DFT calculation (GGA-PBE) of an optimized crystal structure of LiGdS2.

Unit cell a=3.9596 b=3.9596 c=5.3656 alpha=90.00 beta=90.00 gamma=90.00
Fractional positions:
Li (0.0000, 0.0000, 0.0000)
Gd (0.5000, 0.5000, 0.5000)
S (0.0000, 0.0000, 0.5000)
S (0.5000, 0.5000, 0.0000)

SG: P4/mmm
Total energy: -31.33 eV per cell

***

The following is a DFT calculation (GGA-PBE) of an optimized crystal structure of LiGdS2.

Unit cell a=6.5815 b=6.5815 c=6.5815 alpha=35.01 beta=35.01 gamma=35.01
Fractional positions:
Li (0.0000, 0.0000, 0.0000)
Gd (0.5000, 0.5000, 0.5000)
S (0.2507, 0.2507, 0.2507)
S (0.7493, 0.7493, 0.7493)

SG: R-3m
Total energy: -31.59 eV per cell

***

The following is a DFT calculation (GGA-PBE) of an optimized crystal structure of LiGdSb.

Unit cell a=4.4767 b=4.4767 c=4.1374 alpha=90.00 beta=90.00 gamma=120.00
Fractional positions:
Li (0.0000, 0.0000, 0.0000)
Gd (0.6667, 0.3333, 0.5000)
Sb (0.3333, 0.6667, 0.0000)

Energy above the most stable polymorph in this dataset: 0.000 eV/atom
SG: P-6m2

***

The following is a DFT calculation (GGA-PBE) of an optimized crystal structure of LiGdSb.

Unit cell a=4.9622 b=4.9622 c=4.9622 alpha=60.00 beta=60.00 gamma=60.00
Fractional positions:
Li (0.0000, 0.0000, 0.0000)
Gd (0.5000, 0.5000, 0.5000)
Sb (0.7500, 0.7500, 0.7500)

Energy above the most stable polymorph in this dataset: 0.168 eV/atom
SG: F-43m

***

The following is a DFT calculation (GGA-PBE) of an optimized crystal structure of LiGdSb.

Unit cell a=5.3108 b=5.3108 c=5.3108 alpha=133.80 beta=133.80 gamma=67.40
Fractional positions:
Li (0.0000, 0.0000, 0.0000)
Gd (0.3354, 0.3354, 0.0000)
Sb (0.6865, 0.6865, 0.0000)

Energy above the most stable polymorph in this dataset: 0.279 eV/atom
SG: I4mm

***

The following is a DFT calculation (GGA-PBE) of an optimized crystal structure of LiGdScSb.

Unit cell a=5.0786 b=5.0786 c=5.0786 alpha=60.00 beta=60.00 gamma=60.00
Fractional positions:
Li (0.0000, 0.0000, 0.0000)
Gd (0.2500, 0.2500, 0.2500)
Sc (0.7500, 0.7500, 0.7500)
Sb (0.5000, 0.5000, 0.5000)

SG: F-43m
Total energy: -28.18 eV per cell

***

The following is a DFT calculation (GGA-PBE) of an optimized crystal structure of LiSmGdSb.

Unit cell a=5.2767 b=5.2767 c=5.2767 alpha=60.00 beta=60.00 gamma=60.00
Fractional positions:
Li (0.0000, 0.0000, 0.0000)
Sm (0.7500, 0.7500, 0.7500)
Gd (0.2500, 0.2500, 0.2500)
Sb (0.5000, 0.5000, 0.5000)

SG: F-43m
Total energy: -26.77 eV per cell

***

The following is a DFT calculation (GGA-PBE) of an optimized crystal structure of LiGdTmSb.

Unit cell a=5.1981 b=5.1981 c=5.1981 alpha=60.00 beta=60.00 gamma=60.00
Fractional positions:
Li (0.0000, 0.0000, 0.0000)
Gd (0.7500, 0.7500, 0.7500)
Tm (0.2500, 0.2500, 0.2500)
Sb (0.5000, 0.5000, 0.5000)

SG: F-43m
Total energy: -26.28 eV per cell

***

The following is a DFT calculation (GGA-PBE) of an optimized crystal structure of LiGdYSb.

Unit cell a=5.2268 b=5.2268 c=5.2268 alpha=60.00 beta=60.00 gamma=60.00
Fractional positions:
Li (0.0000, 0.0000, 0.0000)
Gd (0.2500, 0.2500, 0.2500)
Y (0.7500, 0.7500, 0.7500)
Sb (0.5000, 0.5000, 0.5000)

SG: F-43m
Total energy: -28.48 eV per cell

***

The following is a DFT calculation (GGA-PBE) of an optimized crystal structure of Li4GdSc.

Unit cell a=5.7266 b=5.7266 c=5.7266 alpha=60.00 beta=60.00 gamma=60.00
Fractional positions:
Li (0.3762, 0.3762, 0.3762)
Li (0.3762, 0.3762, 0.8715)
Li (0.3762, 0.8715, 0.3762)
Li (0.8715, 0.3762, 0.3762)
Gd (0.0000, 0.0000, 0.0000)
Sc (0.7500, 0.7500, 0.7500)

ΔE_f: 0.14 eV/atom
SG: F-43m

***

The following is a DFT calculation (GGA-PBE) of an optimized crystal structure of LiGdScSn.

Unit cell a=5.1048 b=5.1048 c=5.1048 alpha=60.00 beta=60.00 gamma=60.00
Fractional positions:
Li (0.0000, 0.0000, 0.0000)
Gd (0.7500, 0.7500, 0.7500)
Sc (0.2500, 0.2500, 0.2500)
Sn (0.5000, 0.5000, 0.5000)

ΔE_f: -0.40 eV/atom
SG: F-43m

***

The following is a DFT calculation (GGA-PBE) of an optimized crystal structure of LiTbGdSc.

Unit cell a=5.3566 b=5.3566 c=5.3566 alpha=60.00 beta=60.00 gamma=60.00
Fractional positions:
Li (0.0000, 0.0000, 0.0000)
Tb (0.7500, 0.7500, 0.7500)
Gd (0.2500, 0.2500, 0.2500)
Sc (0.5000, 0.5000, 0.5000)

ΔE_f: 0.15 eV/atom
SG: F-43m

***

The following is a DFT calculation (GGA-PBE) of an optimized crystal structure of LiGdScTc.

Unit cell a=4.8112 b=4.8112 c=4.8112 alpha=60.00 beta=60.00 gamma=60.00
Fractional positions:
Li (0.0000, 0.0000, 0.0000)
Gd (0.7500, 0.7500, 0.7500)
Sc (0.2500, 0.2500, 0.2500)
Tc (0.5000, 0.5000, 0.5000)

ΔE_f: -0.05 eV/atom
SG: F-43m